[1]
A plane-wave DFT calculation with PBE-GGA was carried out for an optimized crystal structure of Sc2TaCo. Values from VASP.

```
&SYSTEM
  ibrav = 0, nat = 4, ntyp = 3
/
ATOMIC_SPECIES
Ta 180.95 Ta.upf
Sc 44.96 Sc.upf
Co 58.93 Co.upf
ATOMIC_POSITIONS angstrom
Ta -4.731 -2.802 -1.657
Sc -2.365 -1.401 -0.829
Sc -7.096 -4.202 -2.486
Co 0.000 0.000 0.000
CELL_PARAMETERS angstrom
-1.921 -4.230 -0.630
-4.561 -0.656 0.864
-2.979 -0.717 -3.549
```

The energy above the most stable polymorph in this dataset is 0.365 eV/atom.

***

[2]
A plane-wave DFT calculation with PBE-GGA was carried out for an optimized crystal structure of KPH5C2S2N3O3. Values from VASP.

```
&SYSTEM
  ibrav = 0, nat = 34, ntyp = 7
/
ATOMIC_SPECIES
K 39.10 K.upf
P 30.97 P.upf
H 1.01 H.upf
N 14.01 N.upf
C 12.01 C.upf
S 32.06 S.upf
O 16.00 O.upf
ATOMIC_POSITIONS angstrom
K 2.109 -6.290 4.185
K 2.396 -6.047 -1.505
P 3.064 -9.849 1.227
P 1.441 -2.487 1.454
H 5.252 -4.911 2.041
H -1.138 -8.057 2.869
H 4.988 -6.685 6.463
H -0.483 -5.652 -3.782
H 3.940 -4.294 1.420
H -0.746 -7.425 0.640
H 0.565 -8.042 1.261
H 3.577 -4.292 -4.012
H 0.928 -8.045 6.693
H 5.643 -4.280 -0.189
N 4.733 -10.150 1.462
N 2.530 -10.631 2.655
N -0.228 -2.186 1.219
N 4.556 -10.328 3.793
N -0.051 -2.008 -1.112
N 1.975 -1.705 0.026
C -0.850 -2.180 0.009
C 1.281 -1.628 -1.141
C 3.224 -10.708 3.821
C 5.356 -10.157 2.672
S -1.297 -5.793 -0.771
S 2.749 -7.882 1.324
S 1.756 -4.454 1.357
S 5.803 -6.543 3.452
O 4.932 -4.216 1.406
O 4.385 -4.307 -2.379
O 1.246 -5.088 -3.829
O -0.426 -8.121 1.275
O 0.120 -8.030 5.060
O 3.259 -7.249 6.510
CELL_PARAMETERS angstrom
-3.440 -4.291 -3.778
6.476 -2.016 -2.260
1.470 -6.029 8.720
```

***

[3]
A plane-wave DFT calculation with PBE-GGA was carried out for an optimized crystal structure of Pm6Ho7. Values from VASP.

```
&SYSTEM
  ibrav = 0, nat = 13, ntyp = 2
/
ATOMIC_SPECIES
Ho 164.93 Ho.upf
Pm 145.00 Pm.upf
ATOMIC_POSITIONS angstrom
Ho -1.404 -2.735 -1.429
Ho 0.480 -4.807 -3.149
Ho 0.000 0.000 0.000
Ho -4.324 -9.463 -9.173
Ho -1.687 -2.884 -4.700
Ho -2.157 -11.387 -7.622
Ho -2.440 -11.536 -10.893
Pm -0.760 -5.950 -6.316
Pm -0.845 -8.625 -9.513
Pm -3.084 -8.320 -6.007
Pm -5.599 -10.884 -5.672
Pm -2.999 -5.646 -2.810
Pm 1.755 -3.386 -6.650
CELL_PARAMETERS angstrom
-0.570 -0.300 -6.589
3.796 -4.174 -3.464
-7.070 -9.796 -2.268
```

***

no.,final energy (eV per atom)
1,-7.62
2,-6.03
3,-4.39